#1
Density functional theory data (PBE) for a relaxed Li2InAu2 crystal.

Summary:
Theoretical density = 9518 kg/m3
Spin magnetization = 0.0 μB per formula unit

Cell lengths 7.3392, 7.3392, 3.3855 Å; angles 90.00, 90.00, 90.00 degrees
Last column: nearest neighbours and their distance in Å.
Atoms (fractional coordinates):
1 Li 0.1575 0.3425 0.0000  6 Au 2.71-2.76
2 Li 0.3425 0.8425 0.0000  6 Au 2.71-2.76
3 Li 0.6575 0.1575 0.0000  6 Au 2.71-2.76
4 Li 0.8425 0.6575 0.0000  6 Au 2.71-2.76
5 In 0.0000 0.0000 0.5000  4 Au 2.84
6 In 0.5000 0.5000 0.5000  4 Au 2.84
7 Au 0.1391 0.6391 0.5000  6 Li 2.71-2.76, 2 In 2.84, 1 Au 2.89
8 Au 0.3609 0.1391 0.5000  6 Li 2.71-2.76, 2 In 2.84, 1 Au 2.89
9 Au 0.6391 0.8609 0.5000  6 Li 2.71-2.76, 2 In 2.84, 1 Au 2.89
10 Au 0.8609 0.3609 0.5000  6 Li 2.71-2.76, 2 In 2.84, 1 Au 2.89

=====

#2
Density functional theory data (PBE) for a relaxed Li2InAu2 crystal.

Summary:
Theoretical density = 10051 kg/m3
Spin magnetization = 0.0 μB per formula unit

Cell lengths 7.5557, 7.5557, 3.0251 Å; angles 90.00, 90.00, 90.00 degrees
Last column: nearest neighbours and their distance in Å.
Atoms (fractional coordinates):
1 Li 0.1299 0.3701 0.0000  6 Au 2.68-2.69, 1 Li 2.78, 2 In 2.96
2 Li 0.3701 0.8701 0.0000  6 Au 2.68-2.69, 1 Li 2.78, 2 In 2.96
3 Li 0.6299 0.1299 0.0000  6 Au 2.68-2.69, 1 Li 2.78, 2 In 2.96
4 Li 0.8701 0.6299 0.0000  6 Au 2.68-2.69, 1 Li 2.78, 2 In 2.96
5 In 0.0000 0.0000 0.0000  4 Li 2.96, 2 In 3.03, 8 Au 3.21
6 In 0.5000 0.5000 0.0000  4 Li 2.96, 2 In 3.03, 8 Au 3.21
7 Au 0.1618 0.6618 0.5000  6 Li 2.68-2.69
8 Au 0.3382 0.1618 0.5000  6 Li 2.68-2.69
9 Au 0.6618 0.8382 0.5000  6 Li 2.68-2.69
10 Au 0.8382 0.3382 0.5000  6 Li 2.68-2.69

=====

Of them, #1 has the highest stability.